# HfPa4

A relaxed structure of HfPa4 (GGA-PBE, Alexandria via LeMat-Bulk).

Unit cell a=5.6839 b=8.5984 c=11.2945 alpha=102.94 beta=99.86 gamma=108.52
Last column: nearest neighbours and their distance in Å.
Positions (direct):
Hf: 0.0851 0.3460 0.2748  1 Hf 3.13, 11 Pa 3.21-3.32
Hf: 0.2884 0.0386 0.8269  1 Hf 3.13, 11 Pa 3.19-3.34
Hf: 0.7116 0.9614 0.1731  1 Hf 3.13, 11 Pa 3.19-3.34
Hf: 0.9149 0.6540 0.7252  1 Hf 3.13, 11 Pa 3.21-3.32
Pa: 0.0999 0.8533 0.5286  2 Hf 3.21, 10 Pa 3.22-3.33
Pa: 0.1006 0.3470 0.7736  10 Pa 3.23-3.31, 2 Hf 3.26-3.29
Pa: 0.1025 0.8471 0.0248  4 Hf 3.19-3.30, 8 Pa 3.21-3.31
Pa: 0.3002 0.0495 0.3210  9 Pa 3.22-3.34, 3 Hf 3.23-3.28
Pa: 0.3039 0.5538 0.0790  10 Pa 3.16-3.33, 2 Hf 3.31-3.33
Pa: 0.3065 0.5513 0.5743  9 Pa 3.20-3.33, 3 Hf 3.24-3.32
Pa: 0.4936 0.2503 0.1248  4 Hf 3.21-3.30, 8 Pa 3.23-3.30
Pa: 0.4974 0.7487 0.3705  10 Pa 3.16-3.34, 2 Hf 3.31-3.34
Pa: 0.5026 0.2513 0.6295  10 Pa 3.16-3.34, 2 Hf 3.31-3.34
Pa: 0.5064 0.7497 0.8752  4 Hf 3.21-3.30, 8 Pa 3.23-3.30
Pa: 0.6935 0.4487 0.4257  9 Pa 3.20-3.33, 3 Hf 3.24-3.32
Pa: 0.6961 0.4462 0.9210  10 Pa 3.16-3.33, 2 Hf 3.31-3.33
Pa: 0.6998 0.9505 0.6790  9 Pa 3.22-3.34, 3 Hf 3.23-3.28
Pa: 0.8975 0.1529 0.9752  4 Hf 3.19-3.30, 8 Pa 3.21-3.31
Pa: 0.8994 0.6530 0.2264  10 Pa 3.23-3.31, 2 Hf 3.26-3.29
Pa: 0.9001 0.1467 0.4714  2 Hf 3.21, 10 Pa 3.22-3.33

Results
ΔE_f, eV per atom: 0.033
Excess energy over the best structure of this formula in the dataset, eV per atom: 0.000